# PBE-GGA SiAs2PtSe, optimized geometry
data_SiAs2PtSe
_symmetry_space_group_name_H-M 'P 4/m m m'
_symmetry_Int_Tables_number 123
_symmetry_space_group_name_Hall '-P 4 2'
_cell_length_a 5.0661
_cell_length_b 5.0661
_cell_length_c 4.5336
_cell_angle_alpha 90.00
_cell_angle_beta 90.00
_cell_angle_gamma 90.00
loop_
_atom_site_label
_atom_site_type_symbol
_atom_site_fract_x
_atom_site_fract_y
_atom_site_fract_z
Si1 Si 0.0000 0.0000 0.0000
As1 As 0.0000 0.5000 0.5000
Pt1 Pt 0.0000 0.0000 0.5000
Se1 Se 0.5000 0.5000 0.0000
# Raw formation energy   0.55 eV per atom

# PBE-GGA SiAs2PtSe, optimized geometry
data_SiAs2PtSe
_symmetry_space_group_name_H-M 'P 4/m m m'
_symmetry_Int_Tables_number 123
_symmetry_space_group_name_Hall '-P 4 2'
_cell_length_a 4.9226
_cell_length_b 4.9226
_cell_length_c 4.6113
_cell_angle_alpha 90.00
_cell_angle_beta 90.00
_cell_angle_gamma 90.00
loop_
_atom_site_label
_atom_site_type_symbol
_atom_site_fract_x
_atom_site_fract_y
_atom_site_fract_z
Si1 Si 0.0000 0.0000 0.0000
As1 As 0.0000 0.5000 0.5000
Pt1 Pt 0.5000 0.5000 0.0000
Se1 Se 0.0000 0.0000 0.5000
# Raw formation energy   1.13 eV per atom

# PBE-GGA SiAs2PtSe, optimized geometry
data_SiAs2PtSe
_symmetry_space_group_name_H-M 'P 4/m m m'
_symmetry_Int_Tables_number 123
_symmetry_space_group_name_Hall '-P 4 2'
_cell_length_a 4.6925
_cell_length_b 4.6925
_cell_length_c 4.6258
_cell_angle_alpha 90.00
_cell_angle_beta 90.00
_cell_angle_gamma 90.00
loop_
_atom_site_label
_atom_site_type_symbol
_atom_site_fract_x
_atom_site_fract_y
_atom_site_fract_z
Si1 Si 0.0000 0.0000 0.0000
As1 As 0.0000 0.5000 0.0000
Pt1 Pt 0.5000 0.5000 0.5000
Se1 Se 0.0000 0.0000 0.5000
# Raw formation energy   0.80 eV per atom

# PBE-GGA SiAsPtSe2, optimized geometry
data_SiAsPtSe2
_symmetry_space_group_name_H-M 'P 4/m m m'
_symmetry_Int_Tables_number 123
_symmetry_space_group_name_Hall '-P 4 2'
_cell_length_a 5.1717
_cell_length_b 5.1717
_cell_length_c 4.6202
_cell_angle_alpha 90.00
_cell_angle_beta 90.00
_cell_angle_gamma 90.00
loop_
_atom_site_label
_atom_site_type_symbol
_atom_site_fract_x
_atom_site_fract_y
_atom_site_fract_z
Si1 Si 0.0000 0.0000 0.0000
As1 As 0.5000 0.5000 0.0000
Pt1 Pt 0.5000 0.5000 0.5000
Se1 Se 0.0000 0.5000 0.5000
# Raw formation energy   0.69 eV per atom

# PBE-GGA SiAs2PtSe, optimized geometry
data_SiAs2PtSe
_symmetry_space_group_name_H-M 'P 4/m m m'
_symmetry_Int_Tables_number 123
_symmetry_space_group_name_Hall '-P 4 2'
_cell_length_a 4.8036
_cell_length_b 4.8036
_cell_length_c 5.2424
_cell_angle_alpha 90.00
_cell_angle_beta 90.00
_cell_angle_gamma 90.00
loop_
_atom_site_label
_atom_site_type_symbol
_atom_site_fract_x
_atom_site_fract_y
_atom_site_fract_z
Si1 Si 0.0000 0.0000 0.0000
As1 As 0.0000 0.5000 0.5000
Pt1 Pt 0.5000 0.5000 0.5000
Se1 Se 0.5000 0.5000 0.0000
# Raw formation energy   0.76 eV per atom

# PBE-GGA Sm6AsPt2Se3, optimized geometry
data_Sm6AsPt2Se3
_symmetry_space_group_name_H-M 'C 1 2/m 1'
_symmetry_Int_Tables_number 12
_cell_length_a 18.5864
_cell_length_b 4.1255
_cell_length_c 8.5491
_cell_angle_alpha 90.00
_cell_angle_beta 105.53
_cell_angle_gamma 90.00
loop_
_symmetry_equiv_pos_as_xyz
'x,y,z'
'-x,-y,-z'
'-x,y,-z'
'x,-y,z'
'x+1/2,y+1/2,z'
'-x+1/2,-y+1/2,-z'
'-x+1/2,y+1/2,-z'
'x+1/2,-y+1/2,z'
loop_
_atom_site_label
_atom_site_type_symbol
_atom_site_fract_x
_atom_site_fract_y
_atom_site_fract_z
Sm1 Sm 0.0045 0.0000 0.2468
Sm2 Sm 0.1663 0.5000 0.1035
Sm3 Sm 0.1691 0.5000 0.5794
As1 As 0.0000 0.5000 0.0000
Pt1 Pt 0.1684 0.0000 0.3414
Se1 Se 0.0000 0.5000 0.5000
Se2 Se 0.1627 0.0000 0.8416
# Raw formation energy   -1.53 eV per atom